KNpCoO4: optimized geometry, PBE+U.

Output
Total energy, eV/atom: -7.63
Space group: Imma, No. 74
V, Å³/cell: 217

Cell: 7.0792 6.6179 7.1331 Å, 122.61 90.00 122.33°
With the nearest neighbours (Å) after each atom.
Positions (direct):
K  0.8841  0.7681  0.1341  4 O 2.44-2.52
K  0.1159  0.2319  0.8659  4 O 2.44-2.52
Np  0.5000  0.0000  0.5000  6 O 2.04-2.23
Np  0.5000  0.0000  0.0000  6 O 2.04-2.23
Co  0.5000  0.5000  0.5000  6 O 2.14-2.27
Co  0.0000  0.5000  0.5000  6 O 2.14-2.27
O  0.7328  0.4657  0.6806  1 Np 2.04, 2 Co 2.27
O  0.3183  0.0139  0.2570  1 Co 2.14, 2 Np 2.23
O  0.6957  0.0139  0.2570  1 Co 2.14, 2 Np 2.23
O  0.7328  0.4657  0.2851  1 Np 2.04, 2 Co 2.27
O  0.2672  0.5343  0.7149  1 Np 2.04, 2 Co 2.27
O  0.6817  0.9861  0.7430  1 Co 2.14, 2 Np 2.23
O  0.3043  0.9861  0.7430  1 Co 2.14, 2 Np 2.23
O  0.2672  0.5343  0.3194  1 Np 2.04, 2 Co 2.27